[1]
{
  "formula": "HfCuOsPb",
  "functional": "PBE",
  "state": "relaxed",
  "spacegroup": "F-43m, No. 216",
  "de_polymorph_mev_per_atom": 0,
  "cell": [[0.000, 3.283, 3.283], [3.283, 0.000, 3.283], [3.283, 3.283, 0.000]],
  "species": ["Cu", "Hf", "Os", "Pb"],
  "frac_coords": [[0.750, 0.750, 0.750], [0.500, 0.500, 0.500], [0.250, 0.250, 0.250], [0.000, 0.000, 0.000]]
}


[2]
{
  "formula": "HfCuSbOs",
  "functional": "PBE",
  "state": "relaxed",
  "spacegroup": "F-43m, No. 216",
  "de_polymorph_mev_per_atom": 0,
  "cell": [[0.000, 3.243, 3.243], [3.243, 0.000, 3.243], [3.243, 3.243, 0.000]],
  "species": ["Os", "Cu", "Sb", "Hf"],
  "frac_coords": [[0.250, 0.250, 0.250], [0.750, 0.750, 0.750], [0.000, 0.000, 0.000], [0.500, 0.500, 0.500]]
}


[3]
{
  "formula": "HfCuSbOs",
  "functional": "PBE",
  "state": "relaxed",
  "spacegroup": "F-43m, No. 216",
  "de_polymorph_mev_per_atom": 208,
  "cell": [[0.000, 3.230, 3.230], [3.230, 0.000, 3.230], [3.230, 3.230, 0.000]],
  "species": ["Sb", "Os", "Hf", "Cu"],
  "frac_coords": [[0.250, 0.250, 0.250], [0.000, 0.000, 0.000], [0.500, 0.500, 0.500], [0.750, 0.750, 0.750]]
}


[4]
{
  "formula": "HfCuSbOs",
  "functional": "PBE",
  "state": "relaxed",
  "spacegroup": "F-43m, No. 216",
  "de_polymorph_mev_per_atom": 306,
  "cell": [[0.000, 3.270, 3.270], [3.270, 0.000, 3.270], [3.270, 3.270, 0.000]],
  "species": ["Hf", "Os", "Cu", "Sb"],
  "frac_coords": [[0.250, 0.250, 0.250], [0.500, 0.500, 0.500], [0.750, 0.750, 0.750], [0.000, 0.000, 0.000]]
}


[5]
{
  "formula": "HfTaCuOs",
  "functional": "PBE",
  "state": "relaxed",
  "spacegroup": "F-43m, No. 216",
  "delta_e_f_ev_per_atom": -0.06,
  "de_polymorph_mev_per_atom": 167,
  "cell": [[0.000, 3.172, 3.172], [3.172, 0.000, 3.172], [3.172, 3.172, 0.000]],
  "species": ["Cu", "Os", "Ta", "Hf"],
  "frac_coords": [[0.750, 0.750, 0.750], [0.000, 0.000, 0.000], [0.250, 0.250, 0.250], [0.500, 0.500, 0.500]]
}


[6]
{
  "formula": "HfTaCuOs",
  "functional": "PBE",
  "state": "relaxed",
  "spacegroup": "F-43m, No. 216",
  "delta_e_f_ev_per_atom": -0.23,
  "de_polymorph_mev_per_atom": 0,
  "cell": [[0.924, -3.804, -2.279], [2.475, -3.259, 1.942], [-1.950, -3.902, 1.220]],
  "species": ["Ta", "Os", "Hf", "Cu"],
  "frac_coords": [[0.500, 0.500, 0.500], [0.250, 0.250, 0.250], [0.000, 0.000, 0.000], [0.750, 0.750, 0.750]]
}


[7]
{
  "formula": "Hf4CuP",
  "functional": "PBE",
  "state": "relaxed",
  "spacegroup": "P4/mcc, No. 124",
  "e_tot_ev_per_atom": -8.685,
  "cell": [[-2.360, 3.150, -5.112], [-5.882, -0.110, 2.647], [0.978, 4.568, 2.363]],
  "species": ["P", "P", "Hf", "Hf", "Hf", "Hf", "Hf", "Hf", "Hf", "Hf", "Cu", "Cu"],
  "frac_coords": [[0.500, 0.500, 0.750], [0.500, 0.500, 0.250], [0.346, 0.840, 0.500], [0.160, 0.346, 0.500], [0.654, 0.160, 0.500], [0.160, 0.654, 0.000], [0.346, 0.160, 0.000], [0.840, 0.346, 0.000], [0.654, 0.840, 0.000], [0.840, 0.654, 0.500], [0.000, 0.000, 0.250], [0.000, 0.000, 0.750]]
}


[8]
{
  "formula": "Hf4CuP2Pd",
  "functional": "PBE",
  "state": "relaxed",
  "spacegroup": "Pm, No. 6",
  "e_tot_ev_per_atom": -8.286,
  "cell": [[5.293, 0.000, 0.000], [0.000, 3.640, 0.000], [-2.643, 0.000, 7.109]],
  "species": ["Hf", "Hf", "Hf", "Hf", "P", "P", "Pd", "Cu"],
  "frac_coords": [[0.220, 0.000, 0.914], [0.787, 0.500, 0.076], [0.275, 0.500, 0.571], [0.727, 0.000, 0.434], [0.120, 0.000, 0.299], [0.864, 0.500, 0.710], [0.365, 0.500, 0.207], [0.642, 0.000, 0.789]]
}


[9]
{
  "formula": "PrHfCu2P4",
  "functional": "PBE",
  "state": "relaxed",
  "spacegroup": "P4mm, No. 99",
  "e_tot_ev_per_atom": -6.239,
  "cell": [[-0.431, 1.423, 3.394], [3.362, -1.239, 0.946], [3.905, 8.313, -2.990]],
  "species": ["Pr", "P", "P", "P", "P", "Cu", "Cu", "Hf"],
  "frac_coords": [[0.500, 0.500, 0.223], [0.500, 0.500, 0.675], [0.000, 0.500, 0.976], [0.000, 0.000, 0.356], [0.500, 0.000, 0.976], [0.000, 0.500, 0.511], [0.500, 0.000, 0.511], [0.000, 0.000, 0.772]]
}


[10]
{
  "formula": "Hf3Cu4Pb4",
  "functional": "PBE",
  "state": "relaxed",
  "spacegroup": "Pm, No. 6",
  "de_polymorph_mev_per_atom": 12,
  "cell": [[6.656, 0.000, -0.091], [0.000, 4.428, 0.000], [-0.114, 0.000, 7.830]],
  "species": ["Cu", "Cu", "Cu", "Cu", "Hf", "Hf", "Hf", "Pb", "Pb", "Pb", "Pb"],
  "frac_coords": [[0.689, 0.750, 0.583], [0.642, 0.250, 0.080], [0.293, 0.250, 0.399], [0.367, 0.750, 0.920], [0.507, 0.250, 0.732], [0.009, 0.750, 0.250], [0.496, 0.750, 0.260], [0.788, 0.250, 0.419], [0.793, 0.750, 0.912], [0.213, 0.750, 0.596], [0.202, 0.250, 0.048]]
}


[11]
{
  "formula": "HfCu2Pb2",
  "functional": "PBE",
  "state": "relaxed",
  "spacegroup": "I4/mmm, No. 139",
  "de_polymorph_mev_per_atom": 0,
  "cell": [[0.097, 3.436, 5.873], [-3.917, 5.138, 2.136], [0.059, -6.168, -2.874]],
  "species": ["Pb", "Pb", "Cu", "Cu", "Hf"],
  "frac_coords": [[0.616, 0.616, 0.000], [0.384, 0.384, 0.000], [0.250, 0.750, 0.500], [0.750, 0.250, 0.500], [0.000, 0.000, 0.000]]
}


[12]
{
  "formula": "HfCu2Pb",
  "functional": "PBE",
  "state": "relaxed",
  "spacegroup": "F-43m, No. 216",
  "e_tot_ev_per_atom": -5.021,
  "cell": [[0.000, 3.292, 3.292], [3.292, 0.000, 3.292], [3.292, 3.292, 0.000]],
  "species": ["Cu", "Cu", "Pb", "Hf"],
  "frac_coords": [[0.750, 0.750, 0.750], [0.000, 0.000, 0.000], [0.500, 0.500, 0.500], [0.250, 0.250, 0.250]]
}